1.
# La2NdGa (PBE-GGA, relaxed)
data_La2NdGa
_chemical_formula_sum 'La6 Nd3 Ga3'
_cell_length_a 3.7706
_cell_length_b 3.7706
_cell_length_c 32.3052
_cell_angle_alpha 90.00
_cell_angle_beta 90.00
_cell_angle_gamma 120.00
_space_group_name_H-M_alt 'R -3 m'
_space_group_IT_number 166
_space_group_name_Hall '-R 3 2"'
loop_
_atom_site_label
_atom_site_type_symbol
_atom_site_fract_x
_atom_site_fract_y
_atom_site_fract_z
_atom_site_occupancy
La1 La 0.0000 0.0000 0.2380 1
Nd1 Nd 0.0000 0.0000 0.0000 1
Ga1 Ga 0.0000 0.0000 0.5000 1
# DFT formation energy (eV per formula unit): -0.55
# Crystal system: trigonal


2.
# BaCa2Ga2 (PBE-GGA, relaxed)
data_BaCa2Ga2
_chemical_formula_sum 'Ba2 Ca4 Ga4'
_cell_length_a 8.442
_cell_length_b 8.442
_cell_length_c 4.485
_cell_angle_alpha 90.00
_cell_angle_beta 90.00
_cell_angle_gamma 90.00
_space_group_name_H-M_alt 'P 4/m b m'
_space_group_IT_number 127
_space_group_name_Hall '-P 4 2ab'
loop_
_atom_site_label
_atom_site_type_symbol
_atom_site_fract_x
_atom_site_fract_y
_atom_site_fract_z
_atom_site_occupancy
Ba1 Ba 0.000 0.000 0.000 1
Ca1 Ca 0.168 0.332 0.500 1
Ga1 Ga 0.110 0.610 0.000 1
# DFT formation energy (eV per formula unit): -1.44
# Crystal system: tetragonal


3.
# LaTb2Th3S6 (PBE-GGA, relaxed)
data_LaTb2Th3S6
_chemical_formula_sum 'La2 Tb4 Th6 S12'
_cell_length_a 6.925
_cell_length_b 11.933
_cell_length_c 7.064
_cell_angle_alpha 90.00
_cell_angle_beta 108.89
_cell_angle_gamma 90.00
_space_group_name_H-M_alt 'C 1 2/m 1'
_space_group_IT_number 12
loop_
_space_group_symop_operation_xyz
'x,y,z'
'-x,-y,-z'
'-x,y,-z'
'x,-y,z'
'x+1/2,y+1/2,z'
'-x+1/2,-y+1/2,-z'
'-x+1/2,y+1/2,-z'
'x+1/2,-y+1/2,z'
loop_
_atom_site_label
_atom_site_type_symbol
_atom_site_fract_x
_atom_site_fract_y
_atom_site_fract_z
_atom_site_occupancy
La1 La 0.000 0.000 0.000 1
Tb1 Tb 0.000 0.333 0.000 1
Th1 Th 0.000 0.162 0.500 1
Th2 Th 0.000 0.500 0.500 1
S1 S 0.236 0.500 0.239 1
S2 S 0.247 0.328 0.756 1
# Crystal system: monoclinic
# ΔE_f (raw) (meV per atom): -1933


4.
# TlHPd2Pt (PBE-GGA, relaxed)
data_TlHPd2Pt
_chemical_formula_sum 'Tl1 H1 Pd2 Pt1'
_cell_length_a 4.186
_cell_length_b 4.186
_cell_length_c 4.034
_cell_angle_alpha 90.00
_cell_angle_beta 90.00
_cell_angle_gamma 90.00
_space_group_name_H-M_alt 'P 4/m m m'
_space_group_IT_number 123
_space_group_name_Hall '-P 4 2'
loop_
_atom_site_label
_atom_site_type_symbol
_atom_site_fract_x
_atom_site_fract_y
_atom_site_fract_z
_atom_site_occupancy
Tl1 Tl 0.000 0.000 0.000 1
H1 H 0.500 0.500 0.500 1
Pd1 Pd 0.000 0.500 0.500 1
Pt1 Pt 0.500 0.500 0.000 1
# Crystal system: tetragonal
# Total energy (eV/atom): -4.62


5.
# RbSrNiH4 (PBE-GGA, relaxed)
data_RbSrNiH4
_chemical_formula_sum 'Rb2 Sr2 Ni2 H8'
_cell_length_a 5.379
_cell_length_b 5.652
_cell_length_c 8.080
_cell_angle_alpha 90.00
_cell_angle_beta 103.29
_cell_angle_gamma 90.00
_space_group_name_H-M_alt 'P 1 21/m 1'
_space_group_IT_number 11
loop_
_space_group_symop_operation_xyz
'x,y,z'
'-x,-y,-z'
'-x,y+1/2,-z'
'x,-y+1/2,z'
loop_
_atom_site_label
_atom_site_type_symbol
_atom_site_fract_x
_atom_site_fract_y
_atom_site_fract_z
_atom_site_occupancy
Rb1 Rb 0.210 0.250 0.416 1
Sr1 Sr 0.283 0.750 0.042 1
Ni1 Ni 0.161 0.250 0.821 1
H1 H 0.101 0.750 0.323 1
H2 H 0.259 0.505 0.784 1
H3 H 0.270 0.250 0.021 1
# Crystal system: monoclinic
# Total energy (eV/atom): -3.40


6.
# CaMgMnC (PBE-GGA, relaxed)
data_CaMgMnC
_chemical_formula_sum 'Ca2 Mg2 Mn2 C2'
_cell_length_a 3.703
_cell_length_b 3.703
_cell_length_c 10.738
_cell_angle_alpha 90.00
_cell_angle_beta 90.00
_cell_angle_gamma 90.00
_space_group_name_H-M_alt 'P 4/n m m'
_space_group_IT_number 129
loop_
_space_group_symop_operation_xyz
'x,y,z'
'-x,-y,-z'
'-y+1/2,x,z'
'y+1/2,-x,-z'
'-x+1/2,-y+1/2,z'
'x+1/2,y+1/2,-z'
'y,-x+1/2,z'
'-y,x+1/2,-z'
'x+1/2,-y,-z'
'-x+1/2,y,z'
'-y,-x,-z'
'y,x,z'
'-x,y+1/2,-z'
'x,-y+1/2,z'
'y+1/2,x+1/2,-z'
'-y+1/2,-x+1/2,z'
loop_
_atom_site_label
_atom_site_type_symbol
_atom_site_fract_x
_atom_site_fract_y
_atom_site_fract_z
_atom_site_occupancy
Ca1 Ca 0.250 0.250 0.218 1
Mg1 Mg 0.250 0.750 0.500 1
Mn1 Mn 0.250 0.750 0.000 1
C1 C 0.250 0.250 0.937 1
# DFT formation energy (eV per formula unit): 0.39
# Crystal system: tetragonal


7.
# Mn2GaRu (PBE-GGA, relaxed)
data_Mn2GaRu
_chemical_formula_sum 'Mn2 Ga1 Ru1'
_cell_length_a 3.657
_cell_length_b 3.657
_cell_length_c 3.938
_cell_angle_alpha 90.00
_cell_angle_beta 90.00
_cell_angle_gamma 90.00
_space_group_name_H-M_alt 'P 4/m m m'
_space_group_IT_number 123
_space_group_name_Hall '-P 4 2'
loop_
_atom_site_label
_atom_site_type_symbol
_atom_site_fract_x
_atom_site_fract_y
_atom_site_fract_z
_atom_site_occupancy
Mn1 Mn 0.000 0.500 0.000 1
Ga1 Ga 0.000 0.000 0.500 1
Ru1 Ru 0.500 0.500 0.500 1
# DFT formation energy (eV per formula unit): -0.17
# Crystal system: tetragonal


8.
# TcAsPb (PBE-GGA, relaxed)
data_TcAsPb
_chemical_formula_sum 'Tc4 As4 Pb4'
_cell_length_a 6.387
_cell_length_b 6.387
_cell_length_c 6.387
_cell_angle_alpha 90.00
_cell_angle_beta 90.00
_cell_angle_gamma 90.00
_space_group_name_H-M_alt 'F -4 3 m'
_space_group_IT_number 216
_space_group_name_Hall 'F -4 2 3'
loop_
_atom_site_label
_atom_site_type_symbol
_atom_site_fract_x
_atom_site_fract_y
_atom_site_fract_z
_atom_site_occupancy
Tc1 Tc 0.000 0.000 0.000 1
As1 As 0.250 0.250 0.750 1
Pb1 Pb 0.250 0.250 0.250 1
# DFT formation energy (eV per formula unit): 1.59
# Crystal system: cubic


9.
# RbCaSe2O6 (PBE-GGA, relaxed)
data_RbCaSe2O6
_chemical_formula_sum 'Rb4 Ca4 Se8 O24'
_cell_length_a 9.563
_cell_length_b 10.824
_cell_length_c 7.024
_cell_angle_alpha 90.00
_cell_angle_beta 105.21
_cell_angle_gamma 90.00
_space_group_name_H-M_alt 'C 1 2/c 1'
_space_group_IT_number 15
loop_
_space_group_symop_operation_xyz
'x,y,z'
'-x,-y,-z'
'-x,y,-z+1/2'
'x,-y,z+1/2'
'x+1/2,y+1/2,z'
'-x+1/2,-y+1/2,-z'
'-x+1/2,y+1/2,-z+1/2'
'x+1/2,-y+1/2,z+1/2'
loop_
_atom_site_label
_atom_site_type_symbol
_atom_site_fract_x
_atom_site_fract_y
_atom_site_fract_z
_atom_site_occupancy
Rb1 Rb 0.000 0.178 0.250 1
Ca1 Ca 0.000 0.417 0.750 1
Se1 Se 0.208 0.112 0.821 1
O1 O 0.105 0.410 0.102 1
O2 O 0.156 0.023 0.616 1
O3 O 0.182 0.263 0.746 1
# Crystal system: monoclinic
# ΔE_f (raw) (meV per atom): -1445


10.
# SrMgIn4 (PBE-GGA, relaxed)
data_SrMgIn4
_chemical_formula_sum 'Sr2 Mg2 In8'
_cell_length_a 4.749
_cell_length_b 7.747
_cell_length_c 9.221
_cell_angle_alpha 90.00
_cell_angle_beta 90.00
_cell_angle_gamma 90.00
_space_group_name_H-M_alt 'I m m m'
_space_group_IT_number 71
_space_group_name_Hall '-I 2 2'
loop_
_atom_site_label
_atom_site_type_symbol
_atom_site_fract_x
_atom_site_fract_y
_atom_site_fract_z
_atom_site_occupancy
Sr1 Sr 0.000 0.000 0.000 1
Mg1 Mg 0.000 0.500 0.000 1
In1 In 0.000 0.198 0.338 1
# DFT formation energy (eV per formula unit): -1.38
# Crystal system: orthorhombic


Please write out number 1 again, unchanged.
# La2NdGa (PBE-GGA, relaxed)
data_La2NdGa
_chemical_formula_sum 'La6 Nd3 Ga3'
_cell_length_a 3.7706
_cell_length_b 3.7706
_cell_length_c 32.3052
_cell_angle_alpha 90.00
_cell_angle_beta 90.00
_cell_angle_gamma 120.00
_space_group_name_H-M_alt 'R -3 m'
_space_group_IT_number 166
_space_group_name_Hall '-R 3 2"'
loop_
_atom_site_label
_atom_site_type_symbol
_atom_site_fract_x
_atom_site_fract_y
_atom_site_fract_z
_atom_site_occupancy
La1 La 0.0000 0.0000 0.2380 1
Nd1 Nd 0.0000 0.0000 0.0000 1
Ga1 Ga 0.0000 0.0000 0.5000 1
# DFT formation energy (eV per formula unit): -0.55
# Crystal system: trigonal


Number 4 is which compound?
TlHPd2Pt